(1)
## Tl3SeF (GGA-PBE)

Data for a relaxed structure of Tl3SeF.

Calculated values
The value obtained for the energy above the lowest structure with this stoichiometry is 0.543 eV/atom. The total moment is 0.0 μB per formula unit. The total DFT energy (no corrections) is -14.2 eV/f.u. Its uncorrected formation energy is -0.3473 eV per atom.

Cell lengths 6.233, 6.233, 6.233 Å; angles 90.00, 90.00, 90.00 degrees
Atoms (fractional coordinates):
Tl 0.000 0.000 0.500
Tl 0.000 0.500 0.000
Tl 0.500 0.000 0.000
Se 0.000 0.000 0.000
F 0.500 0.500 0.500

(2)
## PrGdRe4 (GGA-PBE)

Data for a relaxed structure of PrGdRe4.

Calculated values
The calculation puts the energy of formation at 0.011 eV/atom. The total moment is 6.4 μB per formula unit. The total DFT energy (no corrections) is -68.6 eV/f.u.

Cell lengths 5.489, 5.489, 5.489 Å; angles 60.00, 60.00, 60.00 degrees
Atoms (fractional coordinates):
Pr 0.000 0.000 0.000
Gd 0.750 0.750 0.750
Re 0.375 0.375 0.375
Re 0.375 0.375 0.875
Re 0.375 0.875 0.375
Re 0.875 0.375 0.375

(3)
## Dy3Y5Er4 (GGA-PBE)

Data for a relaxed structure of Dy3Y5Er4.

Calculated values
The value obtained for the energy above the lowest structure with this stoichiometry is 0.000 eV/atom. The calculation puts the energy of formation at 0.024 eV/atom. The total moment is 0.0 μB per formula unit. The total DFT energy (no corrections) is -64.1 eV/f.u.

Cell lengths 6.132, 7.092, 8.670 Å; angles 89.99, 89.97, 89.91 degrees
Atoms (fractional coordinates):
Dy 0.000 0.000 0.000
Dy 0.166 0.251 0.333
Dy 0.834 0.749 0.667
Y 0.000 0.500 0.000
Y 0.332 0.000 0.666
Y 0.500 0.250 0.000
Y 0.500 0.750 0.000
Y 0.668 0.000 0.334
Er 0.166 0.749 0.333
Er 0.334 0.500 0.665
Er 0.666 0.500 0.335
Er 0.834 0.251 0.667

(4)
## SbMoRh2 (GGA-PBE)

Data for a relaxed structure of SbMoRh2.

Calculated values
The total moment is 0.6 μB per formula unit. The total DFT energy (no corrections) is -29.7 eV/f.u. Its uncorrected formation energy is -0.0135 eV per atom.

Cell lengths 4.007, 4.007, 4.016 Å; angles 90.00, 90.00, 90.00 degrees
Atoms (fractional coordinates):
Sb 0.000 0.000 0.000
Mo 0.500 0.500 0.000
Rh 0.000 0.500 0.500
Rh 0.500 0.000 0.500

(5)
## LaPrSm2 (GGA-PBE)

Data for a relaxed structure of LaPrSm2.

Calculated values
The value obtained for the energy above the lowest structure with this stoichiometry is 0.021 eV/atom. The calculation puts the energy of formation at 0.016 eV/atom. The total moment is 0.0 μB per formula unit. The total DFT energy (no corrections) is -19.1 eV/f.u.

Cell lengths 5.215, 5.215, 5.173 Å; angles 90.00, 90.00, 90.00 degrees
Atoms (fractional coordinates):
La 0.000 0.000 0.000
Pr 0.500 0.500 0.000
Sm 0.000 0.500 0.500
Sm 0.500 0.000 0.500

(6)
## NaCr3C (GGA-PBE)

Data for a relaxed structure of NaCr3C.

Calculated values
The value obtained for the energy above the lowest structure with this stoichiometry is 0.000 eV/atom. The calculation puts the energy of formation at 0.722 eV/atom. The total moment is 0.2 μB per formula unit. The total DFT energy (no corrections) is -35.8 eV/f.u.

Cell lengths 3.954, 3.954, 3.954 Å; angles 90.00, 90.00, 90.00 degrees
Atoms (fractional coordinates):
Na 0.000 0.000 0.000
Cr 0.000 0.500 0.500
Cr 0.500 0.000 0.500
Cr 0.500 0.500 0.000
C 0.500 0.500 0.500